# 1
# CaLa2Ni2 meta-GGA SCAN single point on PBEsol structure
# * total magnetization: 0.000 μB/f.u.
# * DOS(E_F): 0.9355 states/eV per atom
# * energy relative to the elements: 99 meV/atom
# * offset from the most stable computed form: 0.255 eV/atom
data_CaLa2Ni2
_chemical_formula_sum 'Ca2 La4 Ni4'
_cell_length_a 5.035
_cell_length_b 5.035
_cell_length_c 10.554
_cell_angle_alpha 90.00
_cell_angle_beta 90.00
_cell_angle_gamma 90.00
_space_group_name_H-M_alt 'I 4/m m m'
_space_group_IT_number 139
_space_group_name_Hall '-I 4 2'
loop_
_atom_site_label
_atom_site_type_symbol
_atom_site_fract_x
_atom_site_fract_y
_atom_site_fract_z
Ca1 Ca 0.000 0.000 0.000
La1 La 0.000 0.000 0.337
Ni1 Ni 0.000 0.500 0.250

***

# 2
# CaLa2Ni meta-GGA SCAN single point on PBEsol structure
# * total magnetization: 0.309 μB/f.u.
# * DOS(E_F): 1.2174 states/eV per atom
# * energy relative to the elements: -94 meV/atom
# * offset from the most stable computed form: 0.001 eV/atom
data_CaLa2Ni
_chemical_formula_sum 'Ca3 La6 Ni3'
_cell_length_a 3.8950
_cell_length_b 3.8950
_cell_length_c 29.3273
_cell_angle_alpha 90.00
_cell_angle_beta 90.00
_cell_angle_gamma 120.00
_space_group_name_H-M_alt 'R -3 m'
_space_group_IT_number 166
_space_group_name_Hall '-R 3 2"'
loop_
_atom_site_label
_atom_site_type_symbol
_atom_site_fract_x
_atom_site_fract_y
_atom_site_fract_z
Ca1 Ca 0.0000 0.0000 0.0000
La1 La 0.0000 0.0000 0.2223
Ni1 Ni 0.0000 0.0000 0.5000

***

# 3
# CaLa2Ni meta-GGA SCAN single point on PBEsol structure
# * total magnetization: 0.035 μB/f.u.
# * DOS(E_F): 0.9580 states/eV per atom
# * energy relative to the elements: -95 meV/atom
# * offset from the most stable computed form: 0.000 eV/atom
data_CaLa2Ni
_chemical_formula_sum 'Ca2 La4 Ni2'
_cell_length_a 5.041
_cell_length_b 5.057
_cell_length_c 9.340
_cell_angle_alpha 90.00
_cell_angle_beta 90.00
_cell_angle_gamma 90.00
_space_group_name_H-M_alt 'C m m m'
_space_group_IT_number 65
_space_group_name_Hall '-C 2 2'
loop_
_atom_site_label
_atom_site_type_symbol
_atom_site_fract_x
_atom_site_fract_y
_atom_site_fract_z
Ca1 Ca 0.000 0.000 0.000
La1 La 0.000 0.500 0.332
Ni1 Ni 0.000 0.000 0.500

***

# 4
# CaLaNi2 meta-GGA SCAN single point on PBEsol structure
# * total magnetization: 0.000 μB/f.u.
# * DOS(E_F): 0.6814 states/eV per atom
# * energy relative to the elements: -184 meV/atom
data_CaLaNi2
_chemical_formula_sum 'Ca2 La2 Ni4'
_cell_length_a 4.077
_cell_length_b 3.929
_cell_length_c 10.592
_cell_angle_alpha 90.00
_cell_angle_beta 90.00
_cell_angle_gamma 90.00
_space_group_name_H-M_alt 'A m m 2'
_space_group_IT_number 38
loop_
_space_group_symop_operation_xyz
'x,y,z'
'-x,-y,z'
'-x,y,z'
'x,-y,z'
'x,y+1/2,z+1/2'
'-x,-y+1/2,z+1/2'
'-x,y+1/2,z+1/2'
'x,-y+1/2,z+1/2'
loop_
_atom_site_label
_atom_site_type_symbol
_atom_site_fract_x
_atom_site_fract_y
_atom_site_fract_z
Ca1 Ca 0.000 0.000 0.000
La1 La 0.500 0.000 0.279
Ni1 Ni 0.000 0.000 0.708
Ni2 Ni 0.500 0.000 0.582

***

# 5
# CaLa2Ni meta-GGA SCAN single point on PBEsol structure
# * total magnetization: 0.000 μB/f.u.
# * DOS(E_F): 1.0768 states/eV per atom
# * energy relative to the elements: 384 meV/atom
# * offset from the most stable computed form: 0.479 eV/atom
data_CaLa2Ni
_chemical_formula_sum 'Ca2 La4 Ni2'
_cell_length_a 6.272
_cell_length_b 10.646
_cell_length_c 3.475
_cell_angle_alpha 90.00
_cell_angle_beta 115.36
_cell_angle_gamma 90.00
_space_group_name_H-M_alt 'C 1 2/m 1'
_space_group_IT_number 12
loop_
_space_group_symop_operation_xyz
'x,y,z'
'-x,-y,-z'
'-x,y,-z'
'x,-y,z'
'x+1/2,y+1/2,z'
'-x+1/2,-y+1/2,-z'
'-x+1/2,y+1/2,-z'
'x+1/2,-y+1/2,z'
loop_
_atom_site_label
_atom_site_type_symbol
_atom_site_fract_x
_atom_site_fract_y
_atom_site_fract_z
Ca1 Ca 0.000 0.000 0.000
La1 La 0.250 0.250 0.500
Ni1 Ni 0.000 0.500 0.000

***

# 6
# CaLa2Ni meta-GGA SCAN single point on PBEsol structure
# * total magnetization: 0.847 μB/f.u.
# * DOS(E_F): 0.9460 states/eV per atom
# * energy relative to the elements: 261 meV/atom
# * offset from the most stable computed form: 0.356 eV/atom
data_CaLa2Ni
_chemical_formula_sum 'Ca4 La8 Ni4'
_cell_length_a 7.479
_cell_length_b 7.479
_cell_length_c 7.479
_cell_angle_alpha 90.00
_cell_angle_beta 90.00
_cell_angle_gamma 90.00
_space_group_name_H-M_alt 'F m -3 m'
_space_group_IT_number 225
_space_group_name_Hall '-F 4 2 3'
loop_
_atom_site_label
_atom_site_type_symbol
_atom_site_fract_x
_atom_site_fract_y
_atom_site_fract_z
Ca1 Ca 0.000 0.000 0.000
La1 La 0.250 0.250 0.250
Ni1 Ni 0.000 0.000 0.500

***

# 7
# CaLaNi meta-GGA SCAN single point on PBEsol structure
# * total magnetization: 0.001 μB/f.u.
# * DOS(E_F): 0.8868 states/eV per atom
# * energy relative to the elements: -98 meV/atom
data_CaLaNi
_chemical_formula_sum 'Ca2 La2 Ni2'
_cell_length_a 3.473
_cell_length_b 3.473
_cell_length_c 13.056
_cell_angle_alpha 90.00
_cell_angle_beta 90.00
_cell_angle_gamma 90.00
_space_group_name_H-M_alt 'I 4 m m'
_space_group_IT_number 107
_space_group_name_Hall 'I 4 -2'
loop_
_atom_site_label
_atom_site_type_symbol
_atom_site_fract_x
_atom_site_fract_y
_atom_site_fract_z
Ca1 Ca 0.000 0.000 0.000
La1 La 0.000 0.000 0.748
Ni1 Ni 0.000 0.000 0.362

***

# 8
# Ca3LaNi meta-GGA SCAN single point on PBEsol structure
# * total magnetization: 0.000 μB/f.u.
# * DOS(E_F): 0.9378 states/eV per atom
# * energy relative to the elements: 104 meV/atom
data_Ca3LaNi
_chemical_formula_sum 'Ca3 La1 Ni1'
_cell_length_a 5.452
_cell_length_b 5.452
_cell_length_c 5.452
_cell_angle_alpha 90.00
_cell_angle_beta 90.00
_cell_angle_gamma 90.00
_space_group_name_H-M_alt 'P m -3 m'
_space_group_IT_number 221
_space_group_name_Hall '-P 4 2 3'
loop_
_atom_site_label
_atom_site_type_symbol
_atom_site_fract_x
_atom_site_fract_y
_atom_site_fract_z
Ca1 Ca 0.000 0.000 0.500
La1 La 0.500 0.500 0.500
Ni1 Ni 0.000 0.000 0.000

***

# 9
# CaLaNi4 meta-GGA SCAN single point on PBEsol structure
# * total magnetization: 0.001 μB/f.u.
# * DOS(E_F): 0.9737 states/eV per atom
# * energy relative to the elements: -218 meV/atom
data_CaLaNi4
_chemical_formula_sum 'Ca4 La4 Ni16'
_cell_length_a 7.137
_cell_length_b 7.137
_cell_length_c 7.137
_cell_angle_alpha 90.00
_cell_angle_beta 90.00
_cell_angle_gamma 90.00
_space_group_name_H-M_alt 'F -4 3 m'
_space_group_IT_number 216
_space_group_name_Hall 'F -4 2 3'
loop_
_atom_site_label
_atom_site_type_symbol
_atom_site_fract_x
_atom_site_fract_y
_atom_site_fract_z
Ca1 Ca 0.000 0.000 0.000
La1 La 0.250 0.250 0.750
Ni1 Ni 0.125 0.125 0.375

***

# 10
# CaLaNi2 meta-GGA SCAN single point on PBEsol structure
# * total magnetization: 0.000 μB/f.u.
# * DOS(E_F): 0.5738 states/eV per atom
# * energy relative to the elements: -48 meV/atom
data_CaLaNi2
_chemical_formula_sum 'Ca2 La2 Ni4'
_cell_length_a 3.739
_cell_length_b 4.021
_cell_length_c 11.850
_cell_angle_alpha 90.00
_cell_angle_beta 90.00
_cell_angle_gamma 90.00
_space_group_name_H-M_alt 'I m m 2'
_space_group_IT_number 44
loop_
_space_group_symop_operation_xyz
'x,y,z'
'-x,-y,z'
'-x,y,z'
'x,-y,z'
'x+1/2,y+1/2,z+1/2'
'-x+1/2,-y+1/2,z+1/2'
'-x+1/2,y+1/2,z+1/2'
'x+1/2,-y+1/2,z+1/2'
loop_
_atom_site_label
_atom_site_type_symbol
_atom_site_fract_x
_atom_site_fract_y
_atom_site_fract_z
Ca1 Ca 0.000 0.000 0.000
La1 La 0.000 0.500 0.760
Ni1 Ni 0.000 0.000 0.584
Ni2 Ni 0.000 0.500 0.204

***

# 11
# CaLaNi2 meta-GGA SCAN single point on PBEsol structure
# * total magnetization: 0.000 μB/f.u.
# * DOS(E_F): 1.0321 states/eV per atom
# * energy relative to the elements: 228 meV/atom
data_CaLaNi2
_chemical_formula_sum 'Ca4 La4 Ni8'
_cell_length_a 6.585
_cell_length_b 6.585
_cell_length_c 6.585
_cell_angle_alpha 90.00
_cell_angle_beta 90.00
_cell_angle_gamma 90.00
_space_group_name_H-M_alt 'F -4 3 m'
_space_group_IT_number 216
_space_group_name_Hall 'F -4 2 3'
loop_
_atom_site_label
_atom_site_type_symbol
_atom_site_fract_x
_atom_site_fract_y
_atom_site_fract_z
Ca1 Ca 0.000 0.000 0.000
La1 La 0.250 0.250 0.250
Ni1 Ni 0.000 0.000 0.500
Ni2 Ni 0.250 0.250 0.750

***

# 12
# CaLaNi2 meta-GGA SCAN single point on PBEsol structure
# * total magnetization: 0.480 μB/f.u.
# * DOS(E_F): 0.7494 states/eV per atom
# * energy relative to the elements: -208 meV/atom
data_CaLaNi2
_chemical_formula_sum 'Ca3 La3 Ni6'
_cell_length_a 4.0104
_cell_length_b 4.0104
_cell_length_c 21.3360
_cell_angle_alpha 90.00
_cell_angle_beta 90.00
_cell_angle_gamma 120.00
_space_group_name_H-M_alt 'R 3 m'
_space_group_IT_number 160
_space_group_name_Hall 'R 3 -2"'
loop_
_atom_site_label
_atom_site_type_symbol
_atom_site_fract_x
_atom_site_fract_y
_atom_site_fract_z
Ca1 Ca 0.0000 0.0000 0.0000
La1 La 0.0000 0.0000 0.8300
Ni1 Ni 0.0000 0.0000 0.2440
Ni2 Ni 0.0000 0.0000 0.5777